# 1
## InBTe (PBE-GGA)

Data for a relaxed InBTe crystal.

a b c (Å): 4.5738 5.1931 15.0760
angles (deg): 90.00 90.00 90.00
Last column: nearest neighbours and their distance in Å.
Space group Immm (No. 71)
Inequivalent atoms, fractional coordinates:
1 In 0.0000 0.0000 0.1128  4 B 3.21, 1 In 3.40, 4 Te 3.46
2 B 0.1753 0.5000 0.0000  1 B 1.60
3 Te 0.0000 0.0000 0.3862  2 B 2.27

## Properties
Spin magnetization = 0.00 μB per formula unit
Final energy = -3.852 eV per atom
ρ = 4.70 g/cm3
Formation energy without anion corrections = 0.33 eV per atom

---

# 2
## InBTe3 (PBE-GGA)

Data for a relaxed InBTe3 crystal.

a b c (Å): 5.6802 5.6802 5.6802
angles (deg): 90.00 90.00 90.00
Last column: nearest neighbours and their distance in Å.
Space group Pm-3m (No. 221)
Inequivalent atoms, fractional coordinates:
1 In 0.0000 0.0000 0.0000  6 Te 2.84
2 B 0.5000 0.5000 0.5000  12 Te 4.02
3 Te 0.0000 0.0000 0.5000  2 In 2.84

## Properties
Spin magnetization = 0.00 μB per formula unit
Energy above the most stable polymorph in this dataset = 848 meV per atom
Final energy = -2.418 eV per atom
ρ = 4.61 g/cm3
Formation energy without anion corrections = 1.35 eV per atom

---

# 3
## InBTe3 (PBE-GGA)

Data for a relaxed InBTe3 crystal.

a b c (Å): 4.9903 4.9903 4.9903
angles (deg): 90.00 90.00 90.00
Last column: nearest neighbours and their distance in Å.
Space group Pm-3m (No. 221)
Inequivalent atoms, fractional coordinates:
1 In 0.0000 0.0000 0.0000  12 Te 3.53
2 B 0.5000 0.5000 0.5000  6 Te 2.50
3 Te 0.0000 0.5000 0.5000  2 B 2.50

## Properties
Spin magnetization = 0.00 μB per formula unit
Energy above the most stable polymorph in this dataset = 0 meV per atom
Final energy = -3.266 eV per atom
ρ = 6.79 g/cm3
Formation energy without anion corrections = 0.50 eV per atom

---

# 4
## Zn2InBTe (PBE-GGA)

Data for a relaxed Zn2InBTe crystal.

a b c (Å): 5.3701 5.3701 4.5327
angles (deg): 90.00 90.00 90.00
Last column: nearest neighbours and their distance in Å.
Space group P4/mmm (No. 123)
Inequivalent atoms, fractional coordinates:
1 Zn 0.0000 0.5000 0.0000  2 Te 2.69
2 In 0.0000 0.0000 0.5000  8 Zn 3.51, 4 B 3.80
3 B 0.5000 0.5000 0.5000  2 Te 2.27
4 Te 0.5000 0.5000 0.0000  2 B 2.27

## Properties
Spin magnetization = 0.00 μB per formula unit
Final energy = -1.974 eV per atom
ρ = 4.88 g/cm3
Formation energy without anion corrections = 1.05 eV per atom

---

# 5
## ThInB (PBE-GGA)

Data for a relaxed ThInB crystal.

a b c (Å): 6.6586 3.8476 11.5037
angles (deg): 90.00 100.72 90.00
Last column: nearest neighbours and their distance in Å.
Space group Cm (No. 8)
Inequivalent atoms, fractional coordinates:
1 Th 0.0000 0.0000 0.0000  3 B 2.58-2.59
2 Th 0.2206 0.0000 0.6874  3 B 2.58
3 In 0.4046 0.0000 0.2202  3 B 2.51, 1 In 2.80
4 In 0.4831 0.0000 0.4677  3 B 2.51, 1 In 2.80
5 B 0.2048 0.5000 0.1171  3 In 2.51, 3 Th 2.58-2.59
6 B 0.3494 0.5000 0.5706  3 In 2.51, 3 Th 2.58

## Properties
Spin magnetization = 0.12 μB per formula unit
Final energy = -5.482 eV per atom
ρ = 8.20 g/cm3
Energy of formation from the pure elements = 0.130 eV/atom

---

# 6
## Th4In2B (PBE-GGA)

Data for a relaxed Th4In2B crystal.

a b c (Å): 5.1122 5.1122 16.2699
angles (deg): 90.00 90.00 90.00
Last column: nearest neighbours and their distance in Å.
Space group I4/mmm (No. 139)
Inequivalent atoms, fractional coordinates:
1 Th 0.0000 0.0000 0.1627  1 B 2.65
2 Th 0.0000 0.5000 0.0000  2 B 2.56
3 In 0.0000 0.0000 0.3625  9 Th 3.25-3.64
4 B 0.0000 0.0000 0.0000  6 Th 2.56-2.65

## Properties
Spin magnetization = 0.00 μB per formula unit
Final energy = -6.041 eV per atom
ρ = 9.13 g/cm3
Energy of formation from the pure elements = -0.065 eV/atom

---

# 7
## Ti2InB (PBE-GGA)

Data for a relaxed Ti2InB crystal.

a b c (Å): 6.8021 6.8021 5.6667
angles (deg): 90.00 90.00 90.00
Last column: nearest neighbours and their distance in Å.
Space group I-42d (No. 122)
Inequivalent atoms, fractional coordinates:
1 Ti 0.1846 0.2500 0.1250  2 B 2.23
2 In 0.0000 0.0000 0.5000  8 Ti 2.83-3.00, 2 B 2.83
3 B 0.0000 0.0000 0.0000  4 Ti 2.23

## Properties
Spin magnetization = 0.00 μB per formula unit
Energy above the most stable polymorph in this dataset = 534 meV per atom
Final energy = -6.132 eV per atom
ρ = 5.61 g/cm3
Energy of formation from the pure elements = 0.169 eV/atom

---

# 8
## Ti6In3B (PBE-GGA)

Data for a relaxed Ti6In3B crystal.

a b c (Å): 9.9748 5.8793 7.0203
angles (deg): 90.00 108.76 90.00
Last column: nearest neighbours and their distance in Å.
Space group C2/m (No. 12)
Inequivalent atoms, fractional coordinates:
1 Ti 0.1087 0.2424 0.3900  1 B 2.15
2 Ti 0.1838 0.5000 0.7773  1 B 2.20
3 In 0.0000 0.0000 0.0000  2 In 2.92, 6 Ti 2.97-3.04
4 In 0.1966 0.0000 0.7694  9 Ti 2.90-3.22, 1 In 2.92
5 B 0.0000 0.5000 0.5000  6 Ti 2.15-2.20

## Properties
Spin magnetization = 0.00 μB per formula unit
Final energy = -6.246 eV per atom
ρ = 5.47 g/cm3
Energy of formation from the pure elements = -0.020 eV/atom